Record 1
Sc2BeMo: optimized geometry, PBE.

```
Sc2BeMo
1.0
7.196 0.000 0.000
0.000 7.196 0.000
0.000 0.000 5.420
Sc Be Mo
8 4 4
direct
0.223 0.250 0.125
0.250 0.723 0.375
0.250 0.777 0.875
0.277 0.250 0.625
0.723 0.750 0.625
0.750 0.223 0.875
0.750 0.277 0.375
0.777 0.750 0.125
0.000 0.000 0.000
0.000 0.500 0.250
0.500 0.000 0.750
0.500 0.500 0.500
0.000 0.000 0.500
0.000 0.500 0.750
0.500 0.000 0.250
0.500 0.500 0.000
```

Results
E ... -101.2 eV for the cell shown

Record 2
NdSm4Te2: optimized geometry, PBE.

```
NdSm4Te2
1.0
2.766 1.597 9.096
-2.766 1.597 9.096
0.000 -3.194 9.096
Nd Sm Te
1 4 2
direct
0.000 0.000 0.000
0.232 0.232 0.232
0.367 0.367 0.367
0.633 0.633 0.633
0.768 0.768 0.768
0.116 0.116 0.116
0.884 0.884 0.884
```

Results
Formation energy (no corrections) ... -0.5476 eV/atom

Record 3
PuZn2As: optimized geometry, PBE.

```
PuZn2As
1.0
2.940 0.000 0.000
-1.470 2.547 0.000
0.000 0.000 31.863
Pu Zn As
3 6 3
direct
0.000 0.000 0.000
0.333 0.667 0.667
0.667 0.333 0.333
0.000 0.000 0.092
0.000 0.000 0.908
0.333 0.667 0.574
0.333 0.667 0.759
0.667 0.333 0.241
0.667 0.333 0.426
0.000 0.000 0.500
0.333 0.667 0.167
0.667 0.333 0.833
```

Results
E ... -60.8 eV for the cell shown

Record 4
AgS2ICl: optimized geometry, PBE.

```
AgS2ICl
1.0
4.985 0.000 0.000
0.000 4.985 0.000
0.000 0.000 4.802
Ag S I Cl
1 2 1 1
direct
0.000 0.000 0.000
0.000 0.500 0.000
0.500 0.000 0.000
0.500 0.500 0.500
0.000 0.000 0.500
```

Results
Formation energy (no corrections) ... 0.5802 eV/atom
Excess energy over the best structure of this formula in the dataset ... 0.0 kJ/mol of atoms

Record 5
HoCd2Pt: optimized geometry, PBE.

```
HoCd2Pt
1.0
4.136 0.000 0.000
0.000 4.136 0.000
0.000 0.000 5.001
Ho Cd Pt
1 2 1
direct
0.000 0.000 0.000
0.000 0.500 0.500
0.500 0.000 0.500
0.500 0.500 0.000
```

Results
E ... -14.5 eV for the cell shown

Record 6
Pm3Zn8In: optimized geometry, PBE.

```
Pm3Zn8In
1.0
2.782 1.606 8.937
-2.782 1.606 8.937
0.000 -3.213 8.937
Pm Zn In
3 8 1
direct
0.000 0.000 0.000
0.126 0.126 0.126
0.509 0.509 0.509
0.064 0.064 0.566
0.064 0.566 0.064
0.071 0.564 0.564
0.317 0.317 0.317
0.564 0.071 0.564
0.564 0.564 0.071
0.566 0.064 0.064
0.814 0.814 0.814
0.632 0.632 0.632
```

Results
E ... -30.4 eV for the cell shown